Below is a relaxed structure of BaBe2Si2, with properties calculated at the PBEsol level.

The value obtained for the raw formation energy is 0.36 eV/atom.

The structure belongs to space group P4/mbm (No. 127); the cell edges are 7.7970, 7.7970 and 2.9736 Å and the angles 90.00°, 90.00° and 90.00°. The inequivalent atoms are Ba at (0.0000, 0.0000, 0.0000), Be at (0.1188, 0.3812, 0.5000) and Si at (0.1210, 0.6210, 0.0000).